No. 1
Compound: Li4InAu3
Source: the Alexandria database
Functional: PBE
Structure: optimized geometry

Unit cell a=9.4009 b=5.8245 c=4.7540 alpha=90.00 beta=90.00 gamma=90.00
With the nearest neighbours (Å) after each atom.
Space group Pmma (No. 51)
Asymmetric unit:
Li 0.0000 0.2354 0.0000 x4  1 Li 2.74, 6 Au 2.74-2.83, 2 In 2.83
Li 0.2500 0.2357 0.4245 x4  6 Au 2.74-2.88, 1 Li 2.75, 2 In 2.83
In 0.0000 0.5000 0.5000 x2  8 Li 2.83, 4 Au 2.91-3.14
Au 0.0000 0.0000 0.5000 x2  8 Li 2.74-2.75, 2 In 2.91
Au 0.2500 0.0000 0.9265 x2  8 Li 2.74-2.75, 2 Au 2.91
Au 0.2500 0.5000 0.9376 x2  8 Li 2.78-2.88, 2 Au 2.91

Computed properties:
total magnetization	0.00	μB/f.u.
raw total energy	-0.221	Ry/atom



No. 2
Compound: Ho3Se3N
Source: the Alexandria database
Functional: PBE
Structure: optimized geometry

Unit cell a=11.5676 b=10.1443 c=12.5652 alpha=90.00 beta=112.81 gamma=90.00
With the nearest neighbours (Å) after each atom.
Space group C2/c (No. 15)
Asymmetric unit:
Ho 0.0748 0.1377 0.1229 x8  1 N 2.24
Ho 0.1807 0.1589 0.8830 x8  2 N 2.26-2.27
Ho 0.1809 0.4283 0.3873 x8  1 N 2.23
Se 0.0727 0.1455 0.6268 x8  5 Ho 2.87-3.02
Se 0.0805 0.4145 0.1410 x8  4 Ho 2.82-2.99
Se 0.1745 0.1328 0.3722 x8  5 Ho 2.89-3.00
N 0.2426 0.1330 0.0759 x8  4 Ho 2.23-2.27

Computed properties:
total magnetization	0.00	μB/f.u.
formation energy from raw total energies	-1.8614	eV/atom
energy above the lowest structure with this stoichiometry	0.000	eV per atom